(1)
Pu3AlIr2 | PBE | relaxed

Results
Energy of formation from the pure elements (kJ per mole of atoms): -39.4

a = 7.698 Å, b = 7.698 Å, c = 8.570 Å
α = 107.14°, β = 107.14°, γ = 31.98°
Fractional positions:
Pu1 0.002 0.002 0.249
Pu2 0.324 0.324 0.161
Pu3 0.325 0.325 0.658
Pu4 0.675 0.675 0.342
Pu5 0.676 0.676 0.839
Pu6 0.998 0.998 0.751
Al1 0.500 0.500 0.000
Al2 0.500 0.500 0.500
Ir1 0.127 0.127 0.566
Ir2 0.129 0.129 0.065
Ir3 0.871 0.871 0.935
Ir4 0.873 0.873 0.434



(2)
RbGeAsSe2 | PBE | relaxed

Results
Energy relative to the elements, uncorrected (eV per atom): -0.025
Energy above the most stable polymorph in this dataset (eV/atom): 0.000

a = 5.303 Å, b = 5.303 Å, c = 5.030 Å
α = 90.00°, β = 90.00°, γ = 90.00°
Fractional positions:
Rb1 0.000 0.000 0.000
Ge1 0.500 0.500 0.500
As1 0.500 0.500 0.000
Se1 0.000 0.500 0.500
Se2 0.500 0.000 0.500



(3)
LiSbIr | PBE | relaxed

Results
Energy relative to the elements, uncorrected (eV per atom): -0.205

a = 4.484 Å, b = 4.484 Å, c = 3.068 Å
α = 90.00°, β = 90.00°, γ = 120.00°
Fractional positions:
Li1 0.000 0.000 0.000
Sb1 0.333 0.667 0.500
Ir1 0.667 0.333 0.500



(4)
CoTeHPd2 | PBE | relaxed

Results
E (eV/atom): -4.7683

a = 4.070 Å, b = 4.070 Å, c = 4.048 Å
α = 90.00°, β = 90.00°, γ = 90.00°
Fractional positions:
Co1 0.000 0.000 0.000
Te1 0.500 0.500 0.000
H1 0.000 0.000 0.500
Pd1 0.000 0.500 0.500
Pd2 0.500 0.000 0.500



(5)
BaNa2O2 | PBE | relaxed

Results
Energy relative to the elements, uncorrected (eV per atom): -1.626
Energy above the most stable polymorph in this dataset (eV/atom): 0.027

a = 8.554 Å, b = 6.965 Å, c = 6.629 Å
α = 90.00°, β = 98.60°, γ = 90.00°
Fractional positions:
Ba1 0.194 0.099 0.413
Ba2 0.194 0.401 0.913
Ba3 0.806 0.599 0.087
Ba4 0.806 0.901 0.587
Na1 0.122 0.633 0.466
Na2 0.122 0.867 0.966
Na3 0.449 0.654 0.360
Na4 0.449 0.846 0.860
Na5 0.551 0.154 0.140
Na6 0.551 0.346 0.640
Na7 0.878 0.133 0.034
Na8 0.878 0.367 0.534
O1 0.038 0.118 0.736
O2 0.038 0.382 0.236
O3 0.363 0.579 0.671
O4 0.363 0.921 0.171
O5 0.637 0.079 0.829
O6 0.637 0.421 0.329
O7 0.962 0.618 0.764
O8 0.962 0.882 0.264



(6)
Nd4SmIn | PBE | relaxed

Results
Energy above the most stable polymorph in this dataset (eV/atom): 0.000
Energy of formation from the pure elements (kJ per mole of atoms): -13.7

a = 3.666 Å, b = 3.666 Å, c = 14.788 Å
α = 90.00°, β = 90.00°, γ = 90.00°
Fractional positions:
Nd1 0.000 0.000 0.146
Nd2 0.000 0.000 0.854
Nd3 0.500 0.500 0.325
Nd4 0.500 0.500 0.675
Sm1 0.000 0.000 0.500
In1 0.500 0.500 0.000



(7)
K3La2PuTe6 | PBE | relaxed

Results
Energy relative to the elements, uncorrected (eV per atom): -1.356

a = 8.112 Å, b = 8.112 Å, c = 8.622 Å
α = 99.03°, β = 99.03°, γ = 120.00°
Fractional positions:
K1 0.000 0.000 0.000
K2 0.332 0.668 0.000
K3 0.668 0.332 0.000
La1 0.166 0.834 0.500
La2 0.834 0.166 0.500
Pu1 0.500 0.500 0.500
Te1 0.102 0.429 0.286
Te2 0.245 0.245 0.714
Te3 0.429 0.102 0.286
Te4 0.571 0.898 0.714
Te5 0.755 0.755 0.286
Te6 0.898 0.571 0.714